A geometry-optimized VZn2AsO6 structure. Source: Alexandria via LeMat-Bulk, functional PBE+U.

Unit cell a=9.774 b=9.756 c=5.025 alpha=90.00 beta=90.96 gamma=90.00
Space group C2/c (No. 15)
Asymmetric unit:
V 0.000 0.100 0.250 [4 per cell]
Zn 0.246 0.120 0.823 [8 per cell]
As 0.000 0.410 0.750 [4 per cell]
O 0.100 0.063 0.568 [8 per cell]
O 0.120 0.477 0.439 [8 per cell]
O 0.131 0.211 0.125 [8 per cell]

The calculation puts the spin magnetization at 0.00 μB/f.u. For the total energy, the calculation gives -235.3 eV/cell.